KCd2Se | the Alexandria database | PBE | optimized geometry; D(E_F) = 3.410 states/eV per cell; formation energy without anion corrections = -319 meV per atom
1.0
-4.5670 4.5670 3.0207
4.5670 -4.5670 3.0207
4.5670 4.5670 -3.0207
K Cd Se
2 4 2
Cartesian
0.0000 0.0000 0.0000
0.0000 4.5670 1.5103
2.2835 -1.6782 2.2655
2.8889 2.2835 0.7552
2.2835 6.2452 -0.7552
1.6782 2.2835 3.7758
4.5670 0.0000 1.5103
0.0000 0.0000 3.0207

***

ScRe2As | the Alexandria database | PBE | optimized geometry; D(E_F) = 3.089 states/eV per cell; DFT total energy = -8.68 eV/atom
1.0
1.5120 0.8730 8.3479
-1.5120 0.8730 8.3479
0.0000 -1.7459 8.3479
Sc Re As
1 2 1
Cartesian
0.0000 0.0000 0.0000
0.0000 0.0000 6.0602
0.0000 0.0000 18.9837
0.0000 0.0000 12.5219

***

Hf5ZnTc4 | the Alexandria database | PBE | optimized geometry; D(E_F) = 9.690 states/eV per cell; DFT total energy = -9.70 eV/atom
1.0
3.2890 0.0000 0.0000
0.0000 3.2890 0.0000
0.0000 0.0000 16.3308
Hf Zn Tc
5 1 4
Cartesian
0.0000 0.0000 0.0000
0.0000 0.0000 3.2408
0.0000 0.0000 6.4120
0.0000 0.0000 9.9187
0.0000 0.0000 13.0900
1.6445 1.6445 8.1654
1.6445 1.6445 1.6321
1.6445 1.6445 4.9300
1.6445 1.6445 11.4007
1.6445 1.6445 14.6986

***

Ta2Ru4Au | the Alexandria database | PBE | optimized geometry; D(E_F) = 8.554 states/eV per cell; DFT total energy = -7.73 eV/atom
1.0
-2.3926 2.3926 6.3793
2.3926 -2.3926 6.3793
2.3926 2.3926 -6.3793
Ta Ru Au
2 4 1
Cartesian
0.0000 0.0000 1.4448
0.0000 0.0000 11.3137
2.3926 0.0000 0.0000
0.0000 0.0000 3.7176
0.0000 2.3926 0.0000
0.0000 0.0000 9.0409
0.0000 0.0000 6.3793

***

InIN2O | the Alexandria database | PBE | optimized geometry; D(E_F) = 2.599 states/eV per cell; formation energy without anion corrections = 2001 meV per atom
1.0
4.4522 0.0000 0.0000
0.0000 4.4522 0.0000
0.0000 0.0000 4.3199
In I N O
1 1 2 1
Cartesian
0.0000 0.0000 0.0000
2.2261 2.2261 0.0000
0.0000 2.2261 2.1600
2.2261 0.0000 2.1600
2.2261 2.2261 2.1600

***

Ni5Ge2 | the Alexandria database | PBE | optimized geometry; D(E_F) = 11.324 states/eV per cell; DFT total energy = -5.65 eV/atom
1.0
5.8316 -2.1467 0.0000
5.8316 2.1467 0.0000
-0.6409 0.0000 6.6138
Ni Ge
10 4
Cartesian
4.2800 1.3500 0.2958
2.9058 0.7412 4.5321
5.3510 1.2149 4.9604
7.0628 1.3500 3.0111
3.2262 -0.7412 1.2252
7.7961 0.7412 5.3886
3.9596 -1.3500 3.6028
5.6714 -1.2149 1.6535
8.1165 -0.7412 2.0817
6.7423 -1.3500 6.3180
4.5162 0.8425 2.6411
6.8265 0.8425 0.6658
4.1958 -0.8425 5.9480
6.5061 -0.8425 3.9728

***

BaGa3Pd | the Alexandria database | PBE | optimized geometry; D(E_F) = 6.008 states/eV per cell; DFT total energy = -1.97 eV/atom
1.0
5.9075 0.0000 0.0000
0.0000 5.9075 0.0000
0.0000 0.0000 5.9075
Ba Ga Pd
1 3 1
Cartesian
0.0000 0.0000 0.0000
0.0000 0.0000 2.9538
0.0000 2.9538 0.0000
2.9538 0.0000 0.0000
2.9538 2.9538 2.9538

***

Zr6PaOs2 | the Alexandria database | PBE | optimized geometry; D(E_F) = 9.798 states/eV per cell; DFT total energy = -9.44 eV/atom
1.0
5.6620 -1.6627 0.0000
5.6620 1.6627 0.0000
-3.3229 0.0000 10.0087
Zr Pa Os
6 1 2
Cartesian
-0.9672 0.0000 3.4026
2.1528 0.0000 4.1395
3.3216 0.0000 1.1847
4.6796 0.0000 8.8240
5.8484 0.0000 5.8692
8.9683 0.0000 6.6060
0.0000 0.0000 0.0000
1.2575 0.0000 7.8913
6.7436 0.0000 2.1174